[1]
Computed, not measured: a relaxed structure of KCdBiAu2 at the PBE level of DFT.

a = 4.545 Å, b = 4.760 Å, c = 12.835 Å
α = 90.00°, β = 90.00°, γ = 90.00°
Space group Imm2 (No. 44)
Inequivalent atoms, fractional coordinates:
K (0.000, 0.000, 0.000) x2
Cd (0.000, 0.000, 0.619) x2
Bi (0.000, 0.500, 0.768) x2
Au (0.000, 0.000, 0.407) x2
Au (0.000, 0.500, 0.262) x2

## Properties
- calculated volume (Å³/f.u.) = 138.8

[2]
Computed, not measured: a relaxed structure of K2Cd3Bi4Au at the PBE level of DFT.

a = 5.109 Å, b = 5.109 Å, c = 12.492 Å
α = 90.00°, β = 90.00°, γ = 90.00°
Space group P-4m2 (No. 115)
Inequivalent atoms, fractional coordinates:
K (0.000, 0.500, 0.235) x2
Cd (0.000, 0.000, 0.000) x1
Cd (0.000, 0.500, 0.641) x2
Bi (0.000, 0.000, 0.500) x1
Bi (0.000, 0.500, 0.875) x2
Bi (0.500, 0.500, 0.500) x1
Au (0.500, 0.500, 0.000) x1

## Properties
- calculated volume (Å³/f.u.) = 326.0

Quick rundown of energy of formation from the pure elements, same order as above: -0.19; -0.19 eV/atom